(1)
The following is a PBE-GGA calculation of crystalline VSbRhI2 at its relaxed geometry, from the Alexandria database.

POSCAR file:
```
VSbRhI2
1.0
5.1881 0.0000 0.0000
0.0000 5.1881 0.0000
0.0000 0.0000 5.2223
V Sb Rh I
1 1 1 2
Cartesian
0.0000 0.0000 0.0000
0.0000 0.0000 2.6112
2.5941 2.5941 2.6112
0.0000 2.5941 0.0000
2.5941 0.0000 0.0000
```

The uncorrected formation energy comes out at 0.95 eV per atom. As for the crystal system: tetragonal. The calculation puts the distance to the lowest polymorph of the same formula at 254.2 meV/atom.

(2)
The following is a PBE-GGA calculation of crystalline Sm4CdRhAu2 at its relaxed geometry, from the Alexandria database.

POSCAR file:
```
Sm4CdRhAu2
1.0
2.6000 1.5011 8.4021
-2.6000 1.5011 8.4021
0.0000 -3.0022 8.4021
Sm Cd Rh Au
4 1 1 2
Cartesian
0.0000 0.0000 2.9089
0.0000 0.0000 9.2670
0.0000 0.0000 15.9394
0.0000 0.0000 22.2974
0.0000 0.0000 12.6032
0.0000 0.0000 0.0000
0.0000 0.0000 6.0218
0.0000 0.0000 19.1846
```

As for the crystal system: trigonal. Its formation energy from the elements is -667 meV per atom.

(3)
The following is a PBE-GGA calculation of crystalline Ca2ScBiI at its relaxed geometry, from the Alexandria database.

POSCAR file:
```
Ca2ScBiI
1.0
5.7819 0.0000 0.0000
0.0000 5.7819 0.0000
0.0000 0.0000 5.3356
Ca Sc Bi I
2 1 1 1
Cartesian
0.0000 2.8910 0.0000
2.8910 0.0000 0.0000
0.0000 0.0000 2.6678
2.8910 2.8910 2.6678
0.0000 0.0000 0.0000
```

The uncorrected formation energy comes out at -0.07 eV per atom. As for the crystal system: tetragonal.

(4)
The following is a PBE-GGA calculation of crystalline TbPrCo at its relaxed geometry, from the Alexandria database.

POSCAR file:
```
TbPrCo
1.0
3.9748 0.0000 0.0000
-1.9874 3.4422 0.0000
0.0000 0.0000 6.2690
Tb Pr Co
1 1 1
Cartesian
0.0000 0.0000 0.0000
1.9874 1.1474 3.3665
0.0000 2.2948 4.8706
```

As for the crystal system: trigonal. Its formation energy from the elements is -8 meV per atom. The calculation puts the distance to the lowest polymorph of the same formula at 73.2 meV/atom.